Record 1
A plane-wave DFT calculation with GGA-PBE was carried out for a relaxed Li4TlZn2In crystal.

a b c (Å): 4.5961 4.5961 6.4251
angles (deg): 90.00 90.00 90.00
Last column: nearest neighbours and their distance in Å.
Sites, in units of the cell vectors:
1 Li 0.0000 0.0000 0.0000  4 Zn 2.78, 4 Li 2.81
2 Li 0.0000 0.5000 0.2503  2 Tl 2.80, 4 Li 2.80-2.81, 2 In 2.81
3 Li 0.5000 0.0000 0.7497  4 Li 2.80-2.81, 2 Tl 2.80, 2 In 2.81
4 Li 0.5000 0.5000 0.5000  4 Li 2.80, 4 Zn 2.83
5 Tl 0.0000 0.0000 0.5000  4 Li 2.80, 4 Zn 2.83
6 Zn 0.0000 0.5000 0.7561  2 In 2.78, 4 Li 2.78-2.83, 2 Tl 2.83
7 Zn 0.5000 0.0000 0.2439  2 In 2.78, 4 Li 2.78-2.83, 2 Tl 2.83
8 In 0.5000 0.5000 0.0000  4 Zn 2.78, 4 Li 2.81

E_tot: -2.150 eV per atom
Crystal system: tetragonal
V: 16.97 Å³ per atom

Record 2
A plane-wave DFT calculation with GGA-PBE was carried out for a relaxed LiTmIn crystal.

a b c (Å): 4.6615 4.6615 4.6615
angles (deg): 60.00 60.00 60.00
Last column: nearest neighbours and their distance in Å.
Sites, in units of the cell vectors:
1 Li 0.0000 0.0000 0.0000  4 In 2.85, 4 Tm 2.85
2 Tm 0.2500 0.2500 0.2500  4 Li 2.85
3 In 0.7500 0.7500 0.7500  4 Li 2.85

E_tot: -3.079 eV per atom
Crystal system: cubic
V: 23.87 Å³ per atom